--- A ---
Compound: AgPIr2Cl
Source: Alexandria
Functional: GGA-PBE
Structure: optimized geometry

Summary:
SG = No. 123

a = 5.115 Å, b = 5.115 Å, c = 4.440 Å
α = 90.00°, β = 90.00°, γ = 90.00°
Fractional coordinates of all 5 atoms:
Ag1 0.000 0.000 0.000
P1 0.000 0.000 0.500
Ir1 0.000 0.500 0.000
Ir2 0.500 0.000 0.000
Cl1 0.500 0.500 0.500

---

--- B ---
Compound: AgPIr2Cl
Source: Alexandria
Functional: GGA-PBE
Structure: optimized geometry

Summary:
SG = No. 123

a = 4.436 Å, b = 4.436 Å, c = 4.620 Å
α = 90.00°, β = 90.00°, γ = 90.00°
Fractional coordinates of all 5 atoms:
Ag1 0.000 0.000 0.000
P1 0.500 0.500 0.000
Ir1 0.000 0.500 0.500
Ir2 0.500 0.000 0.500
Cl1 0.500 0.500 0.500

---

The relative energies come out as A 48.1; B 0.0, with values in kJ/mol of atoms.

---

--- A ---
Compound: AgPIrCl2
Source: Alexandria
Functional: GGA-PBE
Structure: optimized geometry

Summary:
SG = No. 123

a = 5.119 Å, b = 5.119 Å, c = 4.400 Å
α = 90.00°, β = 90.00°, γ = 90.00°
Fractional coordinates of all 5 atoms:
Ag1 0.000 0.000 0.000
P1 0.500 0.500 0.000
Ir1 0.500 0.500 0.500
Cl1 0.000 0.500 0.500
Cl2 0.500 0.000 0.500

---

--- B ---
Compound: AgPIrCl2
Source: Alexandria
Functional: GGA-PBE
Structure: optimized geometry

Summary:
SG = No. 123

a = 4.661 Å, b = 4.661 Å, c = 5.401 Å
α = 90.00°, β = 90.00°, γ = 90.00°
Fractional coordinates of all 5 atoms:
Ag1 0.000 0.000 0.000
P1 0.000 0.000 0.500
Ir1 0.500 0.500 0.500
Cl1 0.000 0.500 0.000
Cl2 0.500 0.000 0.000

---

The relative energies come out as A 0.0; B 103.0, with values in kJ/mol of atoms.

---

--- A ---
Compound: AgIrSCl2
Source: Alexandria
Functional: GGA-PBE
Structure: optimized geometry

Summary:
SG = No. 123

a = 4.753 Å, b = 4.753 Å, c = 5.205 Å
α = 90.00°, β = 90.00°, γ = 90.00°
Fractional coordinates of all 5 atoms:
Ag1 0.000 0.000 0.000
Ir1 0.500 0.500 0.500
S1 0.000 0.000 0.500
Cl1 0.000 0.500 0.000
Cl2 0.500 0.000 0.000

---

--- B ---
Compound: AgIrSCl2
Source: Alexandria
Functional: GGA-PBE
Structure: optimized geometry

Summary:
SG = No. 123

a = 5.075 Å, b = 5.075 Å, c = 4.402 Å
α = 90.00°, β = 90.00°, γ = 90.00°
Fractional coordinates of all 5 atoms:
Ag1 0.000 0.000 0.000
Ir1 0.500 0.500 0.500
S1 0.500 0.500 0.000
Cl1 0.000 0.500 0.500
Cl2 0.500 0.000 0.500

---

The relative energies come out as A 97.8; B 0.0, with values in kJ/mol of atoms.

---

--- A ---
Compound: AgIrS2Cl
Source: Alexandria
Functional: GGA-PBE
Structure: optimized geometry

Summary:
SG = No. 123

a = 4.826 Å, b = 4.826 Å, c = 4.760 Å
α = 90.00°, β = 90.00°, γ = 90.00°
Fractional coordinates of all 5 atoms:
Ag1 0.000 0.000 0.000
Ir1 0.500 0.500 0.500
S1 0.000 0.500 0.000
S2 0.500 0.000 0.000
Cl1 0.000 0.000 0.500

---

--- B ---
Compound: AgIrS2Cl
Source: Alexandria
Functional: GGA-PBE
Structure: optimized geometry

Summary:
SG = No. 123

a = 4.603 Å, b = 4.603 Å, c = 5.083 Å
α = 90.00°, β = 90.00°, γ = 90.00°
Fractional coordinates of all 5 atoms:
Ag1 0.000 0.000 0.000
Ir1 0.500 0.500 0.500
S1 0.000 0.500 0.500
S2 0.500 0.000 0.500
Cl1 0.500 0.500 0.000

---

The relative energies come out as A 101.6; B 0.0, with values in kJ/mol of atoms.